DFT (PBE) results for an optimized crystal structure of NdCu2Ru.

a = 4.276 Å, b = 4.276 Å, c = 14.206 Å
α = 90.00°, β = 90.00°, γ = 120.00°
Sites, in units of the cell vectors:
Nd1 0.000 0.000 0.000
Nd2 0.333 0.667 0.667
Nd3 0.667 0.333 0.333
Cu1 0.000 0.000 0.201
Cu2 0.000 0.000 0.799
Cu3 0.333 0.667 0.466
Cu4 0.333 0.667 0.867
Cu5 0.667 0.333 0.133
Cu6 0.667 0.333 0.534
Ru1 0.000 0.000 0.500
Ru2 0.333 0.667 0.167
Ru3 0.667 0.333 0.833

Results
DFT total energy ... -66.62 eV per cell
Energy relative to the elements ... 0.0 eV per formula unit
Space group ... R-3m (166)
Total magnetization ... 0.000 μB per formula unit